# 1
{
  "formula": "SrNb2Ga",
  "functional": "PBE-GGA",
  "state": "relaxed",
  "formation_enthalpy_0k_ev_per_atom": 0.669,
  "dos_at_fermi_per_ev_atom": 0.972,
  "spacegroup": "I-42d, No. 122",
  "lattice_angstrom": [[4.644, 0.000, 0.000], [0.000, 4.644, 0.000], [2.322, 2.322, 10.012]],
  "species": ["Nb", "Nb", "Nb", "Nb", "Ga", "Ga", "Sr", "Sr"],
  "frac_coords": [[0.875, 0.710, 0.750], [0.375, 0.540, 0.750], [0.460, 0.125, 0.250], [0.290, 0.625, 0.250], [0.500, 0.500, 0.000], [0.250, 0.750, 0.500], [0.000, 0.000, 0.000], [0.750, 0.250, 0.500]]
}



# 2
{
  "formula": "Na2MnTe",
  "functional": "PBE-GGA",
  "state": "relaxed",
  "dos_at_fermi_per_ev_atom": 0.710,
  "raw_formation_energy_ev_per_atom": 0.13,
  "spacegroup": "I-42d, No. 122",
  "lattice_angstrom": [[8.896, 0.000, 0.000], [0.000, 8.896, 0.000], [4.448, 4.448, 2.872]],
  "species": ["Mn", "Mn", "Na", "Na", "Na", "Na", "Te", "Te"],
  "frac_coords": [[0.500, 0.500, 0.000], [0.250, 0.750, 0.500], [0.875, 0.899, 0.750], [0.101, 0.625, 0.250], [0.375, 0.351, 0.750], [0.649, 0.125, 0.250], [0.000, 0.000, 0.000], [0.750, 0.250, 0.500]]
}